Below is crystalline TiAlCo2 at its relaxed geometry, with properties calculated at the PBE-GGA level.

a = 2.938 Å, b = 4.104 Å, c = 4.104 Å
α = 90.00°, β = 90.00°, γ = 90.00°
Site moments in Bohr magnetons follow the coordinates.
Atoms (fractional coordinates):
Co 0.000 0.000 0.500  0.41
Co 0.000 0.500 0.000  0.41
Al 0.500 0.500 0.500  0.00
Ti 0.500 0.000 0.000  -0.09

Values from the calculation:
V in Å³/cell: 49.49
ΔE_f in eV/atom: -0.54
Calculated total energy in eV/atom: -7.007
SG: No. 123